Record 1
! KTlSe GGA-PBEsol relaxed; values from VASP
&SYSTEM
  ibrav = 0, nat = 3, ntyp = 3
/
ATOMIC_SPECIES
K 39.10 K.upf
Tl 204.38 Tl.upf
Se 78.96 Se.upf
ATOMIC_POSITIONS crystal
K 0.000 0.000 0.000
Tl 0.500 0.500 0.500
Se 0.750 0.750 0.750
CELL_PARAMETERS angstrom
0.000 3.746 3.746
3.746 0.000 3.746
3.746 3.746 0.000
! total moment	0.0	μB/cell
! space group	No. 216
! E_form (uncorrected)	-0.654	eV per atom

Record 2
! BeCl2 GGA-PBEsol relaxed; values from VASP
&SYSTEM
  ibrav = 0, nat = 6, ntyp = 2
/
ATOMIC_SPECIES
Be 9.01 Be.upf
Cl 35.45 Cl.upf
ATOMIC_POSITIONS crystal
Be 0.183 0.817 0.750
Be 0.817 0.183 0.250
Cl 0.208 0.792 0.250
Cl 0.402 0.598 0.250
Cl 0.598 0.402 0.750
Cl 0.792 0.208 0.750
CELL_PARAMETERS angstrom
1.569 -7.861 0.000
1.569 7.861 0.000
0.000 0.000 4.864
! total moment	0.0	μB/cell
! space group	No. 63
! E_form (uncorrected)	-1.150	eV per atom

Repeat the second record exactly.
! BeCl2 GGA-PBEsol relaxed; values from VASP
&SYSTEM
  ibrav = 0, nat = 6, ntyp = 2
/
ATOMIC_SPECIES
Be 9.01 Be.upf
Cl 35.45 Cl.upf
ATOMIC_POSITIONS crystal
Be 0.183 0.817 0.750
Be 0.817 0.183 0.250
Cl 0.208 0.792 0.250
Cl 0.402 0.598 0.250
Cl 0.598 0.402 0.750
Cl 0.792 0.208 0.750
CELL_PARAMETERS angstrom
1.569 -7.861 0.000
1.569 7.861 0.000
0.000 0.000 4.864
! total moment	0.0	μB/cell
! space group	No. 63
! E_form (uncorrected)	-1.150	eV per atom

- What is the total moment in the first record?
  0.0 μB/cell